Record 1
Entry from the Alexandria database: a relaxed Dy3Y2Ga2 crystal (PBE-GGA).

Values from the calculation:
The calculation puts the size of the total moment at 0.0 μB/cell. As for the space group: C2/m. The total energy comes out at -35.15 eV per cell.

Unit cell a=4.0866 b=6.3829 c=8.5729 alpha=111.91 beta=90.00 gamma=108.67
Atoms (fractional coordinates):
Ga (0.8252, 0.6503, 0.7900)
Ga (0.1748, 0.3497, 0.2100)
Dy (0.5000, 0.0000, 0.0000)
Dy (0.3813, 0.7627, 0.5645)
Dy (0.6187, 0.2373, 0.4355)
Y (0.8508, 0.7015, 0.1930)
Y (0.1492, 0.2985, 0.8070)

Record 2
Entry from the Alexandria database: a relaxed Dy3Y3Ga4 crystal (PBE-GGA).

Values from the calculation:
The calculation puts the size of the total moment at 0.0 μB/cell. As for the space group: Amm2. The total energy comes out at -50.64 eV per cell.

Unit cell a=4.3036 b=7.6867 c=7.6867 alpha=89.96 beta=90.00 gamma=90.00
Atoms (fractional coordinates):
Y (0.5000, 0.1747, 0.8253)
Y (0.0000, 0.9993, 0.4994)
Y (0.0000, 0.5006, 0.0007)
Ga (0.0000, 0.6197, 0.3803)
Ga (0.0000, 0.1198, 0.1199)
Ga (0.0000, 0.3802, 0.6198)
Ga (0.0000, 0.8801, 0.8802)
Dy (0.5000, 0.8260, 0.1740)
Dy (0.5000, 0.6739, 0.6743)
Dy (0.5000, 0.3257, 0.3261)

Record 3
Entry from the Alexandria database: a relaxed Dy4Y3Ga4 crystal (PBE-GGA).

Values from the calculation:
The calculation puts the size of the total moment at 0.0 μB/cell. As for the space group: Immm. The total energy comes out at -53.63 eV per cell.

Unit cell a=4.5089 b=8.2736 c=9.1936 alpha=116.74 beta=104.19 gamma=90.00
Atoms (fractional coordinates):
Dy (0.6665, 0.4693, 0.3330)
Dy (0.6665, 0.8637, 0.3330)
Dy (0.3335, 0.5307, 0.6670)
Dy (0.3335, 0.1363, 0.6670)
Y (0.0000, 0.5000, 0.0000)
Y (0.8842, 0.8842, 0.7683)
Y (0.1158, 0.1158, 0.2317)
Ga (0.5000, 0.8393, 0.0000)
Ga (0.2267, 0.7267, 0.4535)
Ga (0.7733, 0.2733, 0.5465)
Ga (0.5000, 0.1607, 0.0000)

Record 4
Entry from the Alexandria database: a relaxed Dy2YGa2 crystal (PBE-GGA).

Values from the calculation:
The calculation puts the size of the total moment at 0.0 μB/cell. As for the space group: C2/m. The value obtained for the energy above the most stable polymorph in this dataset is 0.144 eV per atom. The total energy comes out at -23.64 eV per cell.

Unit cell a=3.6754 b=5.8876 c=6.4769 alpha=102.02 beta=106.48 gamma=90.00
Atoms (fractional coordinates):
Ga (0.2974, 0.8871, 0.5948)
Ga (0.7026, 0.1129, 0.4052)
Y (0.0000, 0.0000, 0.0000)
Dy (0.6374, 0.5710, 0.2748)
Dy (0.3626, 0.4290, 0.7252)

Record 5
Entry from the Alexandria database: a relaxed DyY2Ga crystal (PBE-GGA).

Values from the calculation:
The calculation puts the size of the total moment at 1.5 μB/cell. As for the space group: Cmcm. The value obtained for the energy above the most stable polymorph in this dataset is 0.000 eV per atom. The total energy comes out at -43.50 eV per cell.

Unit cell a=3.6790 b=6.6719 c=9.5753 alpha=90.00 beta=90.00 gamma=106.02
Atoms (fractional coordinates):
Ga (0.7446, 0.4885, 0.7500)
Ga (0.2554, 0.5115, 0.2500)
Dy (0.9436, 0.8876, 0.2500)
Dy (0.0564, 0.1124, 0.7500)
Y (0.6348, 0.2699, 0.4499)
Y (0.3652, 0.7301, 0.9499)
Y (0.6348, 0.2699, 0.0501)
Y (0.3652, 0.7301, 0.5501)

Record 6
Entry from the Alexandria database: a relaxed Dy2Y3Ga2 crystal (PBE-GGA).

Values from the calculation:
The calculation puts the size of the total moment at 0.0 μB/cell. As for the space group: C2/m. The total energy comes out at -37.05 eV per cell.

Unit cell a=3.7420 b=6.7451 c=8.8496 alpha=113.46 beta=90.00 gamma=106.10
Atoms (fractional coordinates):
Ga (0.8174, 0.6349, 0.7806)
Ga (0.1826, 0.3651, 0.2194)
Dy (0.1472, 0.2945, 0.8101)
Dy (0.8528, 0.7055, 0.1899)
Y (0.5000, 0.0000, 0.0000)
Y (0.3874, 0.7748, 0.5613)
Y (0.6126, 0.2252, 0.4387)

no.,DFT formation energy (eV/atom)
1,-0.34
2,-0.53
3,-0.34
4,-0.38
5,-0.30
6,-0.34